No. 1
A plane-wave DFT calculation with PBE was carried out for a relaxed structure of YMnRe.

```
data_YMnRe
_chemical_formula_sum 'Y1 Mn1 Re1'
_cell_length_a 4.3183
_cell_length_b 4.3183
_cell_length_c 4.3183
_cell_angle_alpha 60.00
_cell_angle_beta 60.00
_cell_angle_gamma 60.00
_space_group_name_H-M_alt 'P 1'
_space_group_IT_number 1
loop_
_space_group_symop_operation_xyz
'x,y,z'
loop_
_atom_site_label
_atom_site_fract_x
_atom_site_fract_y
_atom_site_fract_z
_atom_site_occupancy
Re1 0.0000 0.0000 0.0000 1
Y1 0.5000 0.5000 0.5000 1
Mn1 0.7500 0.7500 0.7500 1
```

Summary:
The value obtained for the total DFT energy (no corrections) is -8.75 eV/atom. As for the crystal system: cubic. The value obtained for the mass density is 9.63 g/cm3. Its density of states at the Fermi level is 2.5 states/eV per cell. For the energy above the lowest structure with this stoichiometry, the calculation gives 0.6716 eV/atom. The formation energy comes out at 0.6079 eV per atom.

No. 2
A plane-wave DFT calculation with PBE was carried out for a relaxed structure of Y2ScAl.

```
data_Y2ScAl
_chemical_formula_sum 'Y4 Sc2 Al2'
_cell_length_a 8.3796
_cell_length_b 8.3796
_cell_length_c 6.6953
_cell_angle_alpha 51.26
_cell_angle_beta 51.26
_cell_angle_gamma 90.00
_space_group_name_H-M_alt 'P 1'
_space_group_IT_number 1
loop_
_space_group_symop_operation_xyz
'x,y,z'
loop_
_atom_site_label
_atom_site_fract_x
_atom_site_fract_y
_atom_site_fract_z
_atom_site_occupancy
Sc1 0.0000 0.0000 0.0000 1
Al1 0.2500 0.7500 0.5000 1
Y1 0.8750 0.8439 0.7500 1
Al2 0.5000 0.5000 0.0000 1
Y2 0.5939 0.1250 0.2500 1
Y3 0.1561 0.6250 0.2500 1
Y4 0.3750 0.4061 0.7500 1
Sc2 0.7500 0.2500 0.5000 1
```

Summary:
The value obtained for the total DFT energy (no corrections) is -5.56 eV/atom. As for the crystal system: tetragonal. The value obtained for the mass density is 3.79 g/cm3. Its density of states at the Fermi level is 6.9 states/eV per cell. The formation energy comes out at 0.1860 eV per atom.

No. 3
A plane-wave DFT calculation with PBE was carried out for a relaxed structure of MnCd2.

```
data_MnCd2
_chemical_formula_sum 'Mn1 Cd2'
_cell_length_a 6.5327
_cell_length_b 6.5327
_cell_length_c 6.5327
_cell_angle_alpha 153.04
_cell_angle_beta 153.04
_cell_angle_gamma 38.50
_space_group_name_H-M_alt 'P 1'
_space_group_IT_number 1
loop_
_space_group_symop_operation_xyz
'x,y,z'
loop_
_atom_site_label
_atom_site_fract_x
_atom_site_fract_y
_atom_site_fract_z
_atom_site_occupancy
Mn1 0.3333 0.3333 0.0000 1
Cd1 0.6767 0.6767 0.0000 1
Cd2 0.9900 0.9900 0.0000 1
```

Summary:
The value obtained for the total DFT energy (no corrections) is -3.47 eV/atom. As for the crystal system: tetragonal. The value obtained for the mass density is 8.12 g/cm3. Its density of states at the Fermi level is 2.1 states/eV per cell. The formation energy comes out at 0.1953 eV per atom.

No. 4
A plane-wave DFT calculation with PBE was carried out for a relaxed structure of MgBePd2.

```
data_MgBePd2
_chemical_formula_sum 'Mg1 Be1 Pd2'
_cell_length_a 3.2659
_cell_length_b 4.0938
_cell_length_c 4.0938
_cell_angle_alpha 90.00
_cell_angle_beta 90.00
_cell_angle_gamma 90.00
_space_group_name_H-M_alt 'P 1'
_space_group_IT_number 1
loop_
_space_group_symop_operation_xyz
'x,y,z'
loop_
_atom_site_label
_atom_site_fract_x
_atom_site_fract_y
_atom_site_fract_z
_atom_site_occupancy
Be1 0.5000 0.0000 0.0000 1
Pd1 0.0000 0.0000 0.5000 1
Pd2 0.0000 0.5000 0.0000 1
Mg1 0.5000 0.5000 0.5000 1
```

Summary:
The value obtained for the total DFT energy (no corrections) is -4.47 eV/atom. As for the crystal system: tetragonal. The value obtained for the mass density is 7.47 g/cm3. Its density of states at the Fermi level is 0.6 states/eV per cell. For the energy above the lowest structure with this stoichiometry, the calculation gives 0.0868 eV/atom. The formation energy comes out at -0.5482 eV per atom.

No. 5
A plane-wave DFT calculation with PBE was carried out for a relaxed structure of Tb2Er5Sc2.

```
data_Tb2Er5Sc2
_chemical_formula_sum 'Tb4 Er10 Sc4'
_cell_length_a 9.8092
_cell_length_b 5.4452
_cell_length_c 11.5484
_cell_angle_alpha 103.64
_cell_angle_beta 115.13
_cell_angle_gamma 90.00
_space_group_name_H-M_alt 'P 1'
_space_group_IT_number 1
loop_
_space_group_symop_operation_xyz
'x,y,z'
loop_
_atom_site_label
_atom_site_fract_x
_atom_site_fract_y
_atom_site_fract_z
_atom_site_occupancy
Er1 0.9716 0.6485 0.2215 1
Sc1 0.6120 0.9886 0.9026 1
Er2 0.6945 0.2870 0.5000 1
Er3 0.7051 0.8743 0.6745 1
Sc2 0.2094 0.5860 0.0974 1
Tb1 0.0894 0.2872 0.5000 1
Tb2 0.9106 0.7872 0.5000 1
Er4 0.0284 0.4270 0.7785 1
Sc3 0.3880 0.0860 0.0974 1
Sc4 0.7906 0.4886 0.9026 1
Tb3 0.0000 0.0375 0.0000 1
Er5 0.3055 0.7870 0.5000 1
Er6 0.5306 0.6998 0.3255 1
Er7 0.2501 0.9270 0.7785 1
Er8 0.4694 0.3743 0.6745 1
Er9 0.7499 0.1485 0.2215 1
Er10 0.2949 0.1998 0.3255 1
Tb4 0.5000 0.5375 0.0000 1
```

Summary:
The value obtained for the total DFT energy (no corrections) is -4.84 eV/atom. As for the crystal system: orthorhombic. The value obtained for the mass density is 7.66 g/cm3. Its density of states at the Fermi level is 30.7 states/eV per cell. For the energy above the lowest structure with this stoichiometry, the calculation gives 0.0205 eV/atom. The formation energy comes out at 0.1268 eV per atom.

No. 6
A plane-wave DFT calculation with PBE was carried out for a relaxed structure of ScBeOs2.

```
data_ScBeOs2
_chemical_formula_sum 'Sc1 Be1 Os2'
_cell_length_a 3.9023
_cell_length_b 3.8389
_cell_length_c 3.8389
_cell_angle_alpha 90.00
_cell_angle_beta 90.00
_cell_angle_gamma 90.00
_space_group_name_H-M_alt 'P 1'
_space_group_IT_number 1
loop_
_space_group_symop_operation_xyz
'x,y,z'
loop_
_atom_site_label
_atom_site_fract_x
_atom_site_fract_y
_atom_site_fract_z
_atom_site_occupancy
Os1 0.0000 0.0000 0.0000 1
Sc1 0.5000 0.5000 0.0000 1
Be1 0.5000 0.0000 0.5000 1
Os2 0.0000 0.5000 0.5000 1
```

Summary:
The value obtained for the total DFT energy (no corrections) is -8.08 eV/atom. As for the crystal system: tetragonal. The value obtained for the mass density is 12.54 g/cm3. Its density of states at the Fermi level is 4.6 states/eV per cell. The formation energy comes out at 0.0458 eV per atom.

No. 7
A plane-wave DFT calculation with PBE was carried out for a relaxed structure of TiVGa2.

```
data_TiVGa2
_chemical_formula_sum 'Ti1 V1 Ga2'
_cell_length_a 2.8385
_cell_length_b 2.8385
_cell_length_c 9.0429
_cell_angle_alpha 80.97
_cell_angle_beta 80.97
_cell_angle_gamma 60.00
_space_group_name_H-M_alt 'P 1'
_space_group_IT_number 1
loop_
_space_group_symop_operation_xyz
'x,y,z'
loop_
_atom_site_label
_atom_site_fract_x
_atom_site_fract_y
_atom_site_fract_z
_atom_site_occupancy
Ga1 0.2529 0.2529 0.2413 1
Ti1 0.5000 0.5000 0.5000 1
V1 0.0000 0.0000 0.0000 1
Ga2 0.7471 0.7471 0.7587 1
```

Summary:
The value obtained for the total DFT energy (no corrections) is -5.92 eV/atom. As for the crystal system: trigonal. The value obtained for the mass density is 6.38 g/cm3. Its density of states at the Fermi level is 3.0 states/eV per cell. For the energy above the lowest structure with this stoichiometry, the calculation gives 0.1851 eV/atom. The formation energy comes out at -0.1487 eV per atom.

No. 8
A plane-wave DFT calculation with PBE was carried out for a relaxed structure of ZnIO2.

```
data_ZnIO2
_chemical_formula_sum 'Zn2 I2 O4'
_cell_length_a 4.9917
_cell_length_b 3.2943
_cell_length_c 9.1289
_cell_angle_alpha 90.00
_cell_angle_beta 91.20
_cell_angle_gamma 90.00
_space_group_name_H-M_alt 'P 1'
_space_group_IT_number 1
loop_
_space_group_symop_operation_xyz
'x,y,z'
loop_
_atom_site_label
_atom_site_fract_x
_atom_site_fract_y
_atom_site_fract_z
_atom_site_occupancy
Zn1 0.6589 0.5000 0.6691 1
O1 0.0123 0.0000 0.0978 1
O2 0.0123 0.5000 0.5978 1
Zn2 0.6589 0.0000 0.1691 1
I1 0.2482 0.0000 0.9279 1
O3 0.5483 0.5000 0.2582 1
O4 0.5483 0.0000 0.7582 1
I2 0.2482 0.5000 0.4279 1
```

Summary:
The value obtained for the total DFT energy (no corrections) is -3.71 eV/atom. As for the crystal system: monoclinic. The value obtained for the mass density is 4.96 g/cm3. Its density of states at the Fermi level is 2.7 states/eV per cell. For the energy above the lowest structure with this stoichiometry, the calculation gives 0.1368 eV/atom. The calculation puts the uncorrected formation energy at -2.1 eV/f.u.